a) This record from Alexandria describes ZrTcIr after structural relaxation. The functional is PBE.

Calculated values
The symmetry is Cm (8). The calculation puts the total moment at 0.000 μB/atom. As for the theoretical density: 12.554 g/cm3.

abc: 4.737 2.998 14.449
angles: 90.00 100.40 90.00
Positions (direct):
Ir: 0.371 0.000 0.121
Ir: 0.371 0.500 0.621
Ir: 0.791 0.000 0.298
Ir: 0.791 0.500 0.798
Zr: 0.727 0.000 0.955
Zr: 0.727 0.500 0.455
Zr: 0.886 0.500 0.149
Zr: 0.886 0.000 0.649
Tc: 0.224 0.000 0.465
Tc: 0.224 0.500 0.965
Tc: 0.303 0.500 0.303
Tc: 0.303 0.000 0.803

---

b) This record from Alexandria describes ZrTcIr after structural relaxation. The functional is PBE.

Calculated values
The symmetry is Cm (8). The calculation puts the total moment at 0.000 μB/atom. As for the theoretical density: 12.495 g/cm3.

abc: 4.842 3.005 14.199
angles: 90.00 101.00 90.00
Positions (direct):
Ir: 0.142 0.000 0.369
Ir: 0.721 0.500 0.693
Ir: 0.142 0.500 0.869
Ir: 0.721 0.000 0.193
Zr: 0.275 0.500 0.540
Zr: 0.640 0.000 0.859
Zr: 0.640 0.500 0.359
Zr: 0.275 0.000 0.040
Tc: 0.784 0.000 0.538
Tc: 0.174 0.500 0.210
Tc: 0.784 0.500 0.038
Tc: 0.174 0.000 0.710

---

Relative energies, unit kJ/mol of atoms: a) 4.1; b) 0.0

---

a) This record from Alexandria describes TeIr5 after structural relaxation. The functional is PBE.

Calculated values
The symmetry is P4/mmm (123). The calculation puts the total moment at 0.000 μB/atom. As for the theoretical density: 18.769 g/cm3.

abc: 2.826 2.826 12.064
angles: 90.00 90.00 90.00
Positions (direct):
Ir: 0.000 0.000 0.500
Ir: 0.000 0.000 0.190
Ir: 0.000 0.000 0.810
Ir: 0.500 0.500 0.657
Ir: 0.500 0.500 0.343
Te: 0.500 0.500 0.000

---

b) This record from Alexandria describes TeIr5 after structural relaxation. The functional is PBE.

Calculated values
The symmetry is Cmmm (65). The calculation puts the total moment at 0.000 μB/atom. As for the theoretical density: 19.199 g/cm3.

abc: 6.329 6.329 3.967
angles: 90.00 90.00 143.66
Positions (direct):
Ir: 0.675 0.325 0.500
Ir: 0.833 0.167 0.000
Ir: 0.000 0.000 0.500
Ir: 0.325 0.675 0.500
Ir: 0.167 0.833 0.000
Te: 0.500 0.500 0.000

---

c) This record from Alexandria describes TeIr5 after structural relaxation. The functional is PBE.

Calculated values
The symmetry is P-62m (189). The calculation puts the total moment at 0.000 μB/atom. As for the theoretical density: 18.820 g/cm3.

abc: 4.953 4.953 4.521
angles: 90.00 90.00 120.00
Positions (direct):
Ir: 0.376 0.376 0.000
Ir: 0.333 0.667 0.500
Ir: 0.000 0.624 0.000
Ir: 0.667 0.333 0.500
Ir: 0.624 0.000 0.000
Te: 0.000 0.000 0.500

---

Relative energies, unit kJ/mol of atoms: a) 6.5; b) 4.2; c) 0.0

---

a) This record from Alexandria describes TeIr5 after structural relaxation. The functional is PBE.

Calculated values
The symmetry is Cm (8). The calculation puts the total moment at 0.000 μB/atom. As for the theoretical density: 18.817 g/cm3.

abc: 5.215 5.215 7.314
angles: 68.47 68.47 31.50
Positions (direct):
Ir: 0.324 0.324 0.346
Ir: 0.612 0.612 0.286
Ir: 0.631 0.631 0.657
Ir: 0.916 0.916 0.591
Ir: 0.032 0.032 0.016
Te: 0.318 0.318 0.938

---

b) This record from Alexandria describes TeIr5 after structural relaxation. The functional is PBE.

Calculated values
The symmetry is Amm2 (38). The calculation puts the total moment at 0.000 μB/atom. As for the theoretical density: 19.019 g/cm3.

abc: 7.493 7.493 4.500
angles: 90.00 90.00 157.90
Positions (direct):
Te: 0.109 0.891 0.500
Ir: 0.443 0.557 0.500
Ir: 0.992 0.008 0.000
Ir: 0.672 0.328 0.000
Ir: 0.331 0.669 0.000
Ir: 0.787 0.213 0.500

---

Relative energies, unit kJ/mol of atoms: a) 0.0; b) 1.5

---

a) This record from Alexandria describes TeIr4 after structural relaxation. The functional is PBE.

Calculated values
The symmetry is Pm-3m (221). The calculation puts the total moment at 0.603 μB/atom. As for the theoretical density: 13.578 g/cm3.

abc: 4.786 4.786 4.786
angles: 90.00 90.00 90.00
Positions (direct):
Ir: 0.500 0.000 0.500
Ir: 0.000 0.000 0.000
Ir: 0.000 0.500 0.500
Ir: 0.500 0.500 0.000
Te: 0.500 0.500 0.500

---

b) This record from Alexandria describes TeIr4 after structural relaxation. The functional is PBE.

Calculated values
The symmetry is Im-3m (229). The calculation puts the total moment at 0.000 μB/atom. As for the theoretical density: 15.207 g/cm3.

abc: 5.029 5.029 5.029
angles: 109.47 109.47 109.47
Positions (direct):
Te: 0.000 0.000 0.000
Ir: 0.500 0.000 0.000
Ir: 0.500 0.500 0.500
Ir: 0.000 0.500 0.000
Ir: 0.000 0.000 0.500

---

Relative energies, unit kJ/mol of atoms: a) 98.4; b) 0.0